*i*
Here is a relaxed structure of Pm2CoBr from Alexandria. Energies are from GGA-PBE.

a = 3.418 Å, b = 3.418 Å, c = 8.202 Å
α = 90.00°, β = 90.00°, γ = 90.00°
Sites, in units of the cell vectors:
1 Pm 0.000 0.000 0.207
2 Pm 0.000 0.000 0.793
3 Co 0.500 0.500 0.000
4 Br 0.500 0.500 0.500

Properties
The symmetry is P4/mmm (123). For the total magnetization, the calculation gives 0.00 μB/cell.

---

*ii*
Here is a relaxed structure of Pm2CoBr from Alexandria. Energies are from GGA-PBE.

a = 8.092 Å, b = 8.092 Å, c = 8.092 Å
α = 28.36°, β = 28.36°, γ = 28.36°
Sites, in units of the cell vectors:
1 Pm 0.231 0.231 0.231
2 Pm 0.769 0.769 0.769
3 Co 0.500 0.500 0.500
4 Br 0.000 0.000 0.000

Properties
The symmetry is R-3m (166). For the total magnetization, the calculation gives 0.00 μB/cell.

---

Best to worst by energy: *ii*, *i*.